Run a
Dy4Ho2Er5: relaxed, PBE.

Cell lengths 10.7923, 10.7923, 9.1051 Å; angles 102.39, 102.39, 19.28 degrees
Closest atoms and distances in Å follow each position.
Fractional coordinates of all 11 atoms:
Dy1 0.0272 0.0272 0.2018  4 Ho 3.37-3.67, 3 Er 3.42, 5 Dy 3.60-3.73
Dy2 0.3286 0.3286 0.5830  6 Er 3.50-3.88, 6 Dy 3.62-3.81, 1 Ho 3.68
Dy3 0.6714 0.6714 0.4170  6 Er 3.50-3.88, 6 Dy 3.62-3.81, 1 Ho 3.68
Dy4 0.9728 0.9728 0.7982  4 Ho 3.37-3.67, 3 Er 3.42, 5 Dy 3.60-3.73
Ho1 0.3853 0.3853 0.9944  5 Er 3.36-3.60, 5 Dy 3.37-3.68, 2 Ho 3.62
Ho2 0.6147 0.6147 0.0056  5 Er 3.36-3.60, 5 Dy 3.37-3.68, 2 Ho 3.62
Er1 0.1181 0.1181 0.6962  6 Er 3.29-3.62, 2 Ho 3.36, 3 Dy 3.42-3.50
Er2 0.2494 0.2494 0.1702  6 Er 3.35-3.62, 3 Ho 3.44-3.60, 2 Dy 3.56
Er3 0.5000 0.5000 0.5000  6 Er 3.29-3.62, 4 Dy 3.42
Er4 0.7506 0.7506 0.8298  6 Er 3.35-3.62, 3 Ho 3.44-3.60, 2 Dy 3.56
Er5 0.8819 0.8819 0.3038  6 Er 3.29-3.62, 2 Ho 3.36, 3 Dy 3.42-3.50

**Space group**: C2/m (12)
**Crystal system**: monoclinic
**Total moment**: 0.00 μB per atom

Run b
Dy4Ho2Er5: relaxed, PBE.

Cell lengths 11.8631, 11.8631, 8.5829 Å; angles 97.11, 97.11, 16.70 degrees
Closest atoms and distances in Å follow each position.
Fractional coordinates of all 11 atoms:
Dy1 0.0457 0.0457 0.3593  2 Ho 3.22-3.31, 3 Er 3.23-3.58, 5 Dy 3.42-3.56
Dy2 0.3231 0.3231 0.5283  6 Dy 3.45-3.82, 5 Er 3.50-3.59, 2 Ho 3.67
Dy3 0.6769 0.6769 0.4717  6 Dy 3.45-3.82, 5 Er 3.50-3.59, 2 Ho 3.67
Dy4 0.9543 0.9543 0.6407  2 Ho 3.22-3.31, 3 Er 3.23-3.58, 5 Dy 3.42-3.56
Ho1 0.0913 0.0913 0.7406  2 Dy 3.22-3.31, 2 Er 3.29-3.31, 2 Ho 3.45
Ho2 0.9087 0.9087 0.2594  2 Dy 3.22-3.31, 2 Er 3.29-3.31, 2 Ho 3.45
Er1 0.1410 0.1410 0.1186  3 Dy 3.23-3.50, 1 Ho 3.31, 5 Er 3.42-3.50
Er2 0.2320 0.2320 0.8254  1 Ho 3.29, 7 Er 3.42-3.50, 3 Dy 3.53-3.59
Er3 0.5000 0.5000 0.0000  6 Er 3.45-3.76, 4 Dy 3.58, 4 Ho 3.70
Er4 0.7680 0.7680 0.1746  1 Ho 3.29, 7 Er 3.42-3.50, 3 Dy 3.53-3.59
Er5 0.8590 0.8590 0.8814  3 Dy 3.23-3.50, 1 Ho 3.31, 5 Er 3.42-3.50

**Space group**: C2/m (12)
**Crystal system**: monoclinic
**Total moment**: 0.00 μB per atom

Of them, run a has the highest stability.

Run a
DyHo3Er5: relaxed, PBE.

Cell lengths 9.3766, 9.3766, 9.8384 Å; angles 121.22, 121.22, 73.74 degrees
Closest atoms and distances in Å follow each position.
Fractional coordinates of all 18 atoms:
Dy1 0.2486 0.2486 0.1001  4 Ho 3.18-3.34, 2 Er 3.30-3.38
Dy2 0.7514 0.7514 0.8999  4 Ho 3.18-3.34, 2 Er 3.30-3.38
Ho1 0.0000 0.0000 0.0000  2 Ho 3.00, 2 Dy 3.18
Ho2 0.0099 0.0099 0.3145  1 Ho 3.00, 5 Er 3.16-3.32, 1 Dy 3.34
Ho3 0.4787 0.4787 0.1365  2 Ho 3.14-3.38, 4 Er 3.20-3.49, 1 Dy 3.23
Ho4 0.5000 0.5000 0.5000  4 Er 2.92-3.11, 2 Dy 3.24
Ho5 0.5213 0.5213 0.8635  2 Ho 3.14-3.38, 4 Er 3.20-3.49, 1 Dy 3.23
Ho6 0.9901 0.9901 0.6855  1 Ho 3.00, 5 Er 3.16-3.32, 1 Dy 3.34
Er1 0.0984 0.6008 0.7506  3 Er 3.27-3.64, 2 Ho 3.43-3.49
Er2 0.2211 0.2211 0.7307  3 Ho 3.16-3.30, 3 Er 3.25-3.36, 1 Dy 3.38
Er3 0.2402 0.7598 0.5000  1 Ho 2.92
Er4 0.2778 0.2778 0.4628  3 Ho 3.11-3.27, 3 Er 3.25-3.27, 1 Dy 3.30
Er5 0.3992 0.9016 0.2494  3 Er 3.27-3.64, 2 Ho 3.43-3.49
Er6 0.6008 0.0984 0.7506  3 Er 3.27-3.64, 2 Ho 3.43-3.49
Er7 0.7222 0.7222 0.5372  3 Ho 3.11-3.27, 3 Er 3.25-3.27, 1 Dy 3.30
Er8 0.7598 0.2402 0.5000  1 Ho 2.92
Er9 0.7789 0.7789 0.2693  3 Ho 3.16-3.30, 3 Er 3.25-3.36, 1 Dy 3.38
Er10 0.9016 0.3992 0.2494  3 Er 3.27-3.64, 2 Ho 3.43-3.49

**Space group**: C2/m (12)
**Crystal system**: monoclinic
**Total moment**: 0.00 μB per atom

Run b
DyHo3Er5: relaxed, PBE.

Cell lengths 9.1558, 9.1558, 10.8803 Å; angles 125.53, 125.53, 55.93 degrees
Closest atoms and distances in Å follow each position.
Fractional coordinates of all 18 atoms:
Dy1 0.1779 0.8221 0.7500  2 Er 3.17
Dy2 0.8221 0.1779 0.2500  2 Er 3.17
Ho1 0.2503 0.3106 0.5286  7 Er 3.54-3.71, 2 Dy 3.64-3.67, 3 Ho 3.77-3.87
Ho2 0.3106 0.2503 0.0286  7 Er 3.54-3.71, 2 Dy 3.64-3.67, 3 Ho 3.77-3.87
Ho3 0.5000 0.5000 0.0000  6 Er 3.24-3.47
Ho4 0.5000 0.5000 0.5000  6 Er 3.24-3.47
Ho5 0.6894 0.7497 0.9714  7 Er 3.54-3.71, 2 Dy 3.64-3.67, 3 Ho 3.77-3.87
Ho6 0.7497 0.6894 0.4714  7 Er 3.54-3.71, 2 Dy 3.64-3.67, 3 Ho 3.77-3.87
Er1 0.0241 0.7829 0.3887  4 Er 3.04-3.15, 1 Dy 3.17
Er2 0.0418 0.5989 0.8369  3 Er 3.05-3.40, 1 Ho 3.24
Er3 0.2171 0.9759 0.1113  4 Er 3.04-3.15, 1 Dy 3.17
Er4 0.2596 0.7404 0.2500  4 Er 3.04-3.40
Er5 0.4011 0.9582 0.6631  3 Er 3.05-3.40, 1 Ho 3.24
Er6 0.5989 0.0418 0.3369  3 Er 3.05-3.40, 1 Ho 3.24
Er7 0.7404 0.2596 0.7500  4 Er 3.04-3.40
Er8 0.7829 0.0241 0.8887  4 Er 3.04-3.15, 1 Dy 3.17
Er9 0.9582 0.4011 0.1631  3 Er 3.05-3.40, 1 Ho 3.24
Er10 0.9759 0.2171 0.6113  4 Er 3.04-3.15, 1 Dy 3.17

**Space group**: C2/c (15)
**Crystal system**: monoclinic
**Total moment**: 0.00 μB per atom

Of them, run b has the highest stability.

Run a
Dy2Ho7Er: relaxed, PBE.

Cell lengths 9.5785, 9.5785, 5.1236 Å; angles 90.00, 90.00, 126.55 degrees
Closest atoms and distances in Å follow each position.
Fractional coordinates of all 10 atoms:
Dy1 0.2016 0.7984 0.0000  5 Ho 3.11-3.45
Dy2 0.7984 0.2016 0.0000  5 Ho 3.11-3.45
Ho1 0.0000 0.0000 0.0000  4 Ho 3.32, 2 Dy 3.45
Ho2 0.2131 0.4284 0.0000  4 Ho 3.09-3.35, 1 Dy 3.20
Ho3 0.3044 0.6956 0.5000  2 Dy 3.11, 1 Er 3.35, 4 Ho 3.35
Ho4 0.4284 0.2131 0.0000  4 Ho 3.09-3.35, 1 Dy 3.20
Ho5 0.5716 0.7869 0.0000  4 Ho 3.09-3.35, 1 Dy 3.20
Ho6 0.6956 0.3044 0.5000  2 Dy 3.11, 1 Er 3.35, 4 Ho 3.35
Ho7 0.7869 0.5716 0.0000  4 Ho 3.09-3.35, 1 Dy 3.20
Er1 0.5000 0.5000 0.5000  10 Ho 3.35-3.51

**Space group**: Cmmm (65)
**Crystal system**: orthorhombic
**Total moment**: 0.00 μB per atom

Run b
Dy2Ho7Er: relaxed, PBE.

Cell lengths 6.0834, 6.0951, 9.3091 Å; angles 102.60, 108.97, 99.70 degrees
Closest atoms and distances in Å follow each position.
Fractional coordinates of all 10 atoms:
Dy1 0.0999 0.0004 0.2002  10 Ho 3.51-3.52, 1 Er 3.52, 1 Dy 3.52
Dy2 0.9001 0.9996 0.7998  10 Ho 3.51-3.52, 1 Er 3.52, 1 Dy 3.52
Ho1 0.0999 0.4998 0.6997  2 Er 3.51-3.52, 8 Ho 3.51-3.52, 2 Dy 3.52
Ho2 0.3001 0.0001 0.5998  7 Ho 3.51-3.52, 3 Dy 3.51-3.52, 2 Er 3.51-3.52
Ho3 0.3002 0.5004 0.1001  8 Ho 3.51-3.52, 3 Dy 3.52, 1 Er 3.52
Ho4 0.5000 0.0000 0.0000  4 Dy 3.51-3.52, 8 Ho 3.51-3.52
Ho5 0.6999 0.9999 0.4002  7 Ho 3.51-3.52, 3 Dy 3.51-3.52, 2 Er 3.51-3.52
Ho6 0.6998 0.4996 0.8999  8 Ho 3.51-3.52, 3 Dy 3.52, 1 Er 3.52
Ho7 0.9001 0.5002 0.3003  2 Er 3.51-3.52, 8 Ho 3.51-3.52, 2 Dy 3.52
Er1 0.5000 0.5000 0.5000  10 Ho 3.51-3.52, 2 Dy 3.52

**Space group**: P-1 (2)
**Crystal system**: triclinic
**Total moment**: 0.00 μB per atom

Of them, run b has the highest stability.

Run a
Dy3Ho2Er3: relaxed, PBE.

Cell lengths 10.5508, 10.5508, 10.5508 Å; angles 152.75, 152.75, 38.92 degrees
Closest atoms and distances in Å follow each position.
Fractional coordinates of all 8 atoms:
Dy1 0.0000 0.0000 0.0000  4 Dy 3.51, 8 Er 3.52
Dy2 0.1248 0.6248 0.5000  2 Dy 3.51, 6 Er 3.51-3.52, 4 Ho 3.52
Dy3 0.8752 0.3752 0.5000  2 Dy 3.51, 6 Er 3.51-3.52, 4 Ho 3.52
Ho1 0.2499 0.2499 0.0000  4 Er 3.51-3.52, 4 Ho 3.52, 4 Dy 3.52
Ho2 0.7501 0.7501 0.0000  4 Er 3.51-3.52, 4 Ho 3.52, 4 Dy 3.52
Er1 0.3749 0.8749 0.5000  4 Ho 3.51-3.52, 6 Dy 3.52, 2 Er 3.52
Er2 0.5000 0.5000 0.0000  8 Dy 3.51-3.52, 4 Er 3.52
Er3 0.6251 0.1251 0.5000  4 Ho 3.51-3.52, 6 Dy 3.52, 2 Er 3.52

**Space group**: Immm (71)
**Crystal system**: orthorhombic
**Total moment**: 0.00 μB per atom

Run b
Dy3Ho2Er3: relaxed, PBE.

Cell lengths 6.3746, 6.3746, 6.3746 Å; angles 95.65, 95.65, 95.65 degrees
Closest atoms and distances in Å follow each position.
Fractional coordinates of all 8 atoms:
Dy1 0.0000 0.7113 0.2887  4 Er 3.32-3.57, 2 Dy 3.38, 2 Ho 3.39
Dy2 0.2887 0.0000 0.7113  4 Er 3.32-3.57, 2 Dy 3.38, 2 Ho 3.39
Dy3 0.7113 0.2887 0.0000  4 Er 3.32-3.57, 2 Dy 3.38, 2 Ho 3.39
Ho1 0.3056 0.3056 0.3056  3 Dy 3.39, 6 Er 3.51-3.54
Ho2 0.6944 0.6944 0.6944  3 Dy 3.39, 6 Er 3.51-3.54
Er1 0.1887 0.5000 0.8113  2 Er 3.32, 4 Dy 3.32-3.57, 4 Ho 3.51-3.54
Er2 0.5000 0.8113 0.1887  2 Er 3.32, 4 Dy 3.32-3.57, 4 Ho 3.51-3.54
Er3 0.8113 0.1887 0.5000  2 Er 3.32, 4 Dy 3.32-3.57, 4 Ho 3.51-3.54

**Space group**: R32 (155)
**Crystal system**: trigonal
**Total moment**: 0.00 μB per atom

Of them, run a has the highest stability.